Entry 1:
# Dy7TmTh3, optimized geometry, DFT PBE
# Energy of formation from the pure elements = 208 meV per atom
# Crystal system = trigonal
# Distance to the lowest polymorph of the same formula = 0.056 eV per atom
# Spin magnetization = 0.00 μB per cell
data_Dy7TmTh3
_cell_length_a 7.0584
_cell_length_b 7.0584
_cell_length_c 8.5103
_cell_angle_alpha 90.00
_cell_angle_beta 90.00
_cell_angle_gamma 120.00
_symmetry_space_group_name_H-M 'P 3 m 1'
_symmetry_Int_Tables_number 156
loop_
_symmetry_equiv_pos_as_xyz
'x,y,z'
'-y,x-y,z'
'-x+y,-x,z'
'-y,-x,z'
'-x+y,y,z'
'x,x-y,z'
loop_
_atom_site_label
_atom_site_type_symbol
_atom_site_fract_x
_atom_site_fract_y
_atom_site_fract_z
_atom_site_occupancy
Dy1 Dy 0.0000 0.0000 0.0000 1
Dy2 Dy 0.1655 0.3309 0.6589 1
Dy3 Dy 0.5014 0.0029 0.9960 1
Tm1 Tm 0.6667 0.3333 0.6563 1
Th1 Th 0.3343 0.1672 0.3281 1



Entry 2:
# SrAlMo, optimized geometry, DFT PBE
# Energy of formation from the pure elements = 504 meV per atom
# Crystal system = tetragonal
# Distance to the lowest polymorph of the same formula = 0.106 eV per atom
# Spin magnetization = 0.00 μB per cell
data_SrAlMo
_cell_length_a 2.9801
_cell_length_b 2.9801
_cell_length_c 14.4292
_cell_angle_alpha 90.00
_cell_angle_beta 90.00
_cell_angle_gamma 90.00
_symmetry_space_group_name_H-M 'I 4 m m'
_symmetry_Int_Tables_number 107
_symmetry_space_group_name_Hall 'I 4 -2'
loop_
_atom_site_label
_atom_site_type_symbol
_atom_site_fract_x
_atom_site_fract_y
_atom_site_fract_z
_atom_site_occupancy
Sr1 Sr 0.0000 0.0000 0.0000 1
Al1 Al 0.0000 0.0000 0.3142 1
Mo1 Mo 0.0000 0.0000 0.6879 1



Entry 3:
# Nb2VCu, optimized geometry, DFT PBE
# Energy of formation from the pure elements = 528 meV per atom
# Crystal system = tetragonal
# Distance to the lowest polymorph of the same formula = 0.462 eV per atom
# Spin magnetization = 0.01 μB per cell
data_Nb2VCu
_cell_length_a 7.0667
_cell_length_b 7.0667
_cell_length_c 5.3159
_cell_angle_alpha 90.00
_cell_angle_beta 90.00
_cell_angle_gamma 90.00
_symmetry_space_group_name_H-M 'I -4 2 d'
_symmetry_Int_Tables_number 122
_symmetry_space_group_name_Hall 'I -4 2bw'
loop_
_atom_site_label
_atom_site_type_symbol
_atom_site_fract_x
_atom_site_fract_y
_atom_site_fract_z
_atom_site_occupancy
Nb1 Nb 0.2426 0.2500 0.1250 1
V1 V 0.0000 0.0000 0.5000 1
Cu1 Cu 0.0000 0.0000 0.0000 1



Entry 4:
# AlAs2WSe, optimized geometry, DFT PBE
# Crystal system = tetragonal
# Distance to the lowest polymorph of the same formula = 0.000 eV per atom
# Spin magnetization = 0.00 μB per cell
data_AlAs2WSe
_cell_length_a 4.9042
_cell_length_b 4.9042
_cell_length_c 5.0360
_cell_angle_alpha 90.00
_cell_angle_beta 90.00
_cell_angle_gamma 90.00
_symmetry_space_group_name_H-M 'P 4/m m m'
_symmetry_Int_Tables_number 123
_symmetry_space_group_name_Hall '-P 4 2'
loop_
_atom_site_label
_atom_site_type_symbol
_atom_site_fract_x
_atom_site_fract_y
_atom_site_fract_z
_atom_site_occupancy
Al1 Al 0.0000 0.0000 0.0000 1
As1 As 0.0000 0.5000 0.5000 1
W1 W 0.5000 0.5000 0.5000 1
Se1 Se 0.5000 0.5000 0.0000 1